*A*
# TaBiP2Cl (PBE, optimized geometry)
data_TaBiP2Cl
_cell_length_a 5.225
_cell_length_b 5.225
_cell_length_c 5.036
_cell_angle_alpha 90.00
_cell_angle_beta 90.00
_cell_angle_gamma 90.00
_symmetry_space_group_name_H-M 'P 4/m m m'
_symmetry_Int_Tables_number 123
_symmetry_space_group_name_Hall '-P 4 2'
loop_
_atom_site_label
_atom_site_type_symbol
_atom_site_fract_x
_atom_site_fract_y
_atom_site_fract_z
Ta1 Ta 0.000 0.000 0.000
Bi1 Bi 0.500 0.500 0.500
P1 P 0.000 0.500 0.500
Cl1 Cl 0.500 0.500 0.000
# * volume: 137.5 Å³/f.u.
# * total moment: 2.117 Bohr magnetons per cell

*B*
# TaBiP2Cl (PBE, optimized geometry)
data_TaBiP2Cl
_cell_length_a 4.953
_cell_length_b 4.953
_cell_length_c 4.702
_cell_angle_alpha 90.00
_cell_angle_beta 90.00
_cell_angle_gamma 90.00
_symmetry_space_group_name_H-M 'P 4/m m m'
_symmetry_Int_Tables_number 123
_symmetry_space_group_name_Hall '-P 4 2'
loop_
_atom_site_label
_atom_site_type_symbol
_atom_site_fract_x
_atom_site_fract_y
_atom_site_fract_z
Ta1 Ta 0.000 0.000 0.000
Bi1 Bi 0.500 0.500 0.500
P1 P 0.000 0.500 0.000
Cl1 Cl 0.000 0.000 0.500
# * volume: 115.3 Å³/f.u.
# * total moment: 0.000 Bohr magnetons per cell

The structures above, arranged from the most stable to the least stable: *B*, *A*.